Density functional theory data (GGA+U) for a relaxed Ba3Mn2GaO9 crystal.

Cell and atoms, written as POSCAR:
```
Ba3Mn2GaO9
1.0
5.682 0.000 0.000
-2.841 4.921 0.000
0.000 0.000 6.974
Ba Mn Ga O
3 2 1 9
direct
0.333 0.667 0.668
0.000 0.000 0.000
0.667 0.333 0.332
0.333 0.667 0.170
0.667 0.333 0.830
0.000 0.000 0.500
0.831 0.169 0.670
0.831 0.662 0.670
0.338 0.169 0.670
0.662 0.831 0.330
0.169 0.338 0.330
0.169 0.831 0.330
0.500 0.000 0.000
0.000 0.500 0.000
0.500 0.500 0.000
```

Calculated values
The crystal system is trigonal. As for the raw total energy: -6.488 eV/atom. The density comes out at 6.26 Mg/m³.


Density functional theory data (GGA+U) for a relaxed Ba2Mn2GaO6 crystal.

Cell and atoms, written as POSCAR:
```
Ba2Mn2GaO6
1.0
-5.874 1.148 -0.472
-2.995 -1.656 -4.933
-4.102 -5.067 0.538
Ba Mn Ga O
2 2 1 6
direct
0.788 0.788 0.635
0.212 0.212 0.365
0.408 0.408 0.775
0.592 0.592 0.225
0.000 0.000 0.000
0.771 0.771 0.235
0.224 0.771 0.235
0.771 0.224 0.235
0.229 0.776 0.765
0.776 0.229 0.765
0.229 0.229 0.765
```

Calculated values
The crystal system is trigonal. As for the raw total energy: -6.501 eV/atom. The density comes out at 5.28 Mg/m³.


Density functional theory data (GGA+U) for a relaxed BaMnGaO4 crystal.

Cell and atoms, written as POSCAR:
```
BaMnGaO4
1.0
-4.110 2.402 -2.567
-3.689 -3.226 2.888
1.261 3.888 5.954
Ba Mn Ga O
2 2 2 8
direct
0.732 0.750 0.950
0.268 0.250 0.050
0.911 0.750 0.503
0.089 0.250 0.497
0.301 0.750 0.337
0.699 0.250 0.663
0.995 0.473 0.678
0.005 0.973 0.322
0.005 0.527 0.322
0.995 0.027 0.678
0.331 0.750 0.093
0.669 0.250 0.907
0.553 0.750 0.561
0.447 0.250 0.439
```

Calculated values
The crystal system is monoclinic. As for the raw total energy: -6.522 eV/atom. The density comes out at 5.08 Mg/m³.